{"formula": "Li3FeF", "functional": "PBE+U", "state": "relaxed", "de_polymorph_kj_per_mol_atoms": 0.0, "m_tot_mub_per_cell": 3.319, "final_energy_ev_per_cell": -16.86, "lattice": [[-0.036, -0.364, 4.105], [-2.933, -2.882, -0.282], [2.895, -2.924, -0.234]], "species": ["Li", "Li", "Li", "Fe", "F"], "frac_coords": [[0.500, 0.000, 0.000], [0.000, 0.000, 0.500], [0.000, 0.500, 0.000], [0.500, 0.500, 0.500], [0.000, 0.000, 0.000]]}